[1]
Density functional theory data (PBE-GGA) for crystalline Ca2HgOs at its relaxed geometry.

Calculated values
**SG**: I-42d (122)
**VASP energy**: -24.94 eV per cell

POSCAR file:
```
Ca2HgOs
1.0
-1.7806 0.5232 4.0338
-1.6257 -4.1279 -0.1823
6.6803 -5.2875 6.0785
Ca Os Hg
4 2 2
Direct
0.6085 0.1250 0.2500
0.1415 0.6250 0.2500
0.8750 0.8585 0.7500
0.3750 0.3915 0.7500
0.2500 0.7500 0.5000
0.5000 0.5000 0.0000
0.0000 0.0000 0.0000
0.7500 0.2500 0.5000
```

[2]
Density functional theory data (PBE-GGA) for crystalline CsLiO3 at its relaxed geometry.

Calculated values
**SG**: Pm-3m (221)
**E_form (uncorrected)**: 0.287 eV/atom

POSCAR file:
```
CsLiO3
1.0
4.3314 0.0000 0.0000
0.0000 4.3314 0.0000
0.0000 0.0000 4.3314
O Cs Li
3 1 1
Direct
0.0000 0.5000 0.0000
0.5000 0.0000 0.0000
0.0000 0.0000 0.5000
0.0000 0.0000 0.0000
0.5000 0.5000 0.5000
```

[3]
Density functional theory data (PBE-GGA) for crystalline UGe2PtRh at its relaxed geometry.

Calculated values
**SG**: Cmcm (63)
**VASP energy**: -71.66 eV per cell

POSCAR file:
```
UGe2PtRh
1.0
-0.2957 -2.3981 3.1060
4.7309 -2.8352 -4.2315
5.4089 3.8363 3.4769
U Ge Rh Pt
2 4 2 2
Direct
0.4116 0.8233 0.7500
0.5884 0.1767 0.2500
0.1828 0.3656 0.9473
0.1828 0.3656 0.5527
0.8172 0.6344 0.0527
0.8172 0.6344 0.4473
0.2740 0.5480 0.2500
0.7260 0.4520 0.7500
0.0000 0.0000 0.5000
0.0000 0.0000 0.0000
```

[4]
Density functional theory data (PBE-GGA) for crystalline TbGa6 at its relaxed geometry.

Calculated values
**SG**: Im-3m (229)
**VASP energy**: -21.77 eV per cell

POSCAR file:
```
TbGa6
1.0
-4.4785 -0.6758 3.9719
4.3034 -4.0653 1.1150
2.3005 5.5457 0.4920
Ga Tb
6 1
Direct
0.2500 0.5000 0.7500
0.2500 0.7500 0.5000
0.7500 0.5000 0.2500
0.5000 0.7500 0.2500
0.5000 0.2500 0.7500
0.7500 0.2500 0.5000
0.0000 0.0000 0.0000
```

[5]
Density functional theory data (PBE-GGA) for crystalline K7Rb2 at its relaxed geometry.

Calculated values
**SG**: R-3m (166)
**VASP energy**: -18.60 eV per cell

POSCAR file:
```
K7Rb2
1.0
-3.5011 -7.5745 -2.4405
2.6923 -7.4129 3.6589
-15.9243 -2.8632 16.2457
K Rb
14 4
Direct
0.6144 0.6144 0.6622
0.7228 0.7228 0.8316
0.0000 0.5000 0.0000
0.5000 0.5000 0.5000
0.1090 0.6144 0.6622
0.5000 0.5000 0.0000
0.6144 0.1090 0.6622
0.5000 0.0000 0.0000
0.3856 0.3856 0.3378
0.6102 0.6102 0.1694
0.8910 0.3856 0.3378
0.3898 0.3898 0.8306
0.2772 0.2772 0.1684
0.3856 0.8910 0.3378
0.9408 0.9408 0.1777
0.8474 0.8474 0.4577
0.1526 0.1526 0.5423
0.0592 0.0592 0.8223
```

[6]
Density functional theory data (PBE-GGA) for crystalline Ac3Th at its relaxed geometry.

Calculated values
**SG**: Fm-3m (225)
**VASP energy**: -18.65 eV per cell

POSCAR file:
```
Ac3Th
1.0
6.1675 0.0000 0.0000
3.0838 5.3412 0.0000
3.0838 1.7804 5.0358
Th Ac
1 3
Direct
0.5000 0.5000 0.5000
0.2500 0.2500 0.2500
0.7500 0.7500 0.7500
0.0000 0.0000 0.0000
```

Copy entry 4 word for word.
Density functional theory data (PBE-GGA) for crystalline TbGa6 at its relaxed geometry.

Calculated values
**SG**: Im-3m (229)
**VASP energy**: -21.77 eV per cell

POSCAR file:
```
TbGa6
1.0
-4.4785 -0.6758 3.9719
4.3034 -4.0653 1.1150
2.3005 5.5457 0.4920
Ga Tb
6 1
Direct
0.2500 0.5000 0.7500
0.2500 0.7500 0.5000
0.7500 0.5000 0.2500
0.5000 0.7500 0.2500
0.5000 0.2500 0.7500
0.7500 0.2500 0.5000
0.0000 0.0000 0.0000
```

Please write out number 3 again, unchanged.
Density functional theory data (PBE-GGA) for crystalline UGe2PtRh at its relaxed geometry.

Calculated values
**SG**: Cmcm (63)
**VASP energy**: -71.66 eV per cell

POSCAR file:
```
UGe2PtRh
1.0
-0.2957 -2.3981 3.1060
4.7309 -2.8352 -4.2315
5.4089 3.8363 3.4769
U Ge Rh Pt
2 4 2 2
Direct
0.4116 0.8233 0.7500
0.5884 0.1767 0.2500
0.1828 0.3656 0.9473
0.1828 0.3656 0.5527
0.8172 0.6344 0.0527
0.8172 0.6344 0.4473
0.2740 0.5480 0.2500
0.7260 0.4520 0.7500
0.0000 0.0000 0.5000
0.0000 0.0000 0.0000
```